No. 1
# MgTlBi

A relaxed structure of MgTlBi (PBE, Alexandria).

The calculation puts the magnetic moment at 0.00 μB/f.u. The calculation puts the density of states at the Fermi level at 0.030 states/eV per atom. For the energy relative to the elements, the calculation gives -0.4 eV per formula unit. As for the crystal system: triclinic.

It has space group P-1 (No. 2), with a = 5.125 Å, b = 5.134 Å, c = 7.926 Å, α = 89.91°, β = 90.00° and γ = 60.17°. Symmetry generates all atoms from Mg at (0.166, 0.168, 0.348), Tl at (0.500, 0.500, 0.000), Tl at (0.500, 0.500, 0.500) and Bi at (0.167, 0.166, 0.758).

=====

No. 2
# Mg3TlBi

A relaxed structure of Mg3TlBi (PBE, Alexandria).

The calculation puts the offset from the most stable computed form at 0.4244 eV per atom. The calculation puts the magnetic moment at 0.00 μB/f.u. The calculation puts the density of states at the Fermi level at 0.793 states/eV per atom. For the energy relative to the elements, the calculation gives 1.7 eV per formula unit. As for the crystal system: cubic.

It has space group Pm-3m (No. 221), with a = 5.613 Å, b = 5.613 Å, c = 5.613 Å, α = 90.00°, β = 90.00° and γ = 90.00°. Symmetry generates all atoms from Mg at (0.000, 0.000, 0.500), Tl at (0.500, 0.500, 0.500) and Bi at (0.000, 0.000, 0.000).

=====

No. 3
# MgTl2Bi2

A relaxed structure of MgTl2Bi2 (PBE, Alexandria).

The calculation puts the offset from the most stable computed form at 0.1721 eV per atom. The calculation puts the magnetic moment at 0.00 μB/f.u. The calculation puts the density of states at the Fermi level at 0.686 states/eV per atom. For the energy relative to the elements, the calculation gives 0.7 eV per formula unit. As for the crystal system: tetragonal.

It has space group P4/mbm (No. 127), with a = 7.872 Å, b = 7.872 Å, c = 5.098 Å, α = 90.00°, β = 90.00° and γ = 90.00°. Symmetry generates all atoms from Mg at (0.000, 0.000, 0.000), Tl at (0.156, 0.344, 0.000) and Bi at (0.140, 0.640, 0.500).

=====

No. 4
# Mg4TlBi

A relaxed structure of Mg4TlBi (PBE, Alexandria).

The calculation puts the offset from the most stable computed form at 0.0048 eV per atom. The calculation puts the magnetic moment at 0.00 μB/f.u. The calculation puts the density of states at the Fermi level at 0.470 states/eV per atom. For the energy relative to the elements, the calculation gives -0.3 eV per formula unit. As for the crystal system: monoclinic.

It has space group P2_1/m (No. 11), with a = 5.486 Å, b = 7.156 Å, c = 7.759 Å, α = 90.00°, β = 94.77° and γ = 90.00°. Symmetry generates all atoms from Mg at (0.000, 0.000, 0.000), Mg at (0.303, 0.000, 0.670), Mg at (0.496, 0.250, 0.995), Tl at (0.196, 0.750, 0.320) and Bi at (0.210, 0.250, 0.332).

=====

No. 5
# Mg6Tl2Bi

A relaxed structure of Mg6Tl2Bi (PBE, Alexandria).

The calculation puts the magnetic moment at 0.00 μB/f.u. The calculation puts the density of states at the Fermi level at 0.410 states/eV per atom. For the energy relative to the elements, the calculation gives -0.3 eV per formula unit. As for the crystal system: monoclinic.

It has space group C2/c (No. 15), with a = 14.931 Å, b = 11.127 Å, c = 5.496 Å, α = 90.00°, β = 102.73° and γ = 90.00°. Symmetry generates all atoms from Mg at (0.056, 0.121, 0.030), Mg at (0.113, 0.377, 0.311), Mg at (0.226, 0.379, 0.866), Tl at (0.167, 0.130, 0.585) and Bi at (0.000, 0.373, 0.750).

=====

No. 6
# MgTlBi

A relaxed structure of MgTlBi (PBE, Alexandria).

The calculation puts the magnetic moment at 0.00 μB/f.u. The calculation puts the density of states at the Fermi level at 0.000 states/eV per atom. For the energy relative to the elements, the calculation gives -0.5 eV per formula unit. As for the crystal system: monoclinic.

It has space group P2_1/m (No. 11), with a = 4.982 Å, b = 4.976 Å, c = 7.602 Å, α = 90.00°, β = 90.51° and γ = 90.00°. Symmetry generates all atoms from Mg at (0.249, 0.250, 0.000), Tl at (0.246, 0.750, 0.673) and Bi at (0.254, 0.750, 0.230).

=====

No. 7
# Mg6Tl3Bi

A relaxed structure of Mg6Tl3Bi (PBE, Alexandria).

The calculation puts the magnetic moment at 0.00 μB/f.u. The calculation puts the density of states at the Fermi level at 0.377 states/eV per atom. For the energy relative to the elements, the calculation gives -0.5 eV per formula unit. As for the crystal system: monoclinic.

It has space group P2_1/m (No. 11), with a = 9.463 Å, b = 4.739 Å, c = 11.611 Å, α = 90.00°, β = 105.03° and γ = 90.00°. Symmetry generates all atoms from Mg at (0.010, 0.250, 0.096), Mg at (0.060, 0.750, 0.297), Mg at (0.121, 0.250, 0.509), Mg at (0.278, 0.750, 0.117), Mg at (0.372, 0.750, 0.517), Mg at (0.455, 0.750, 0.901), Tl at (0.161, 0.750, 0.697), Tl at (0.226, 0.250, 0.931), Tl at (0.420, 0.250, 0.710) and Bi at (0.298, 0.250, 0.319).

=====

No. 8
# Mg5Tl2Bi3

A relaxed structure of Mg5Tl2Bi3 (PBE, Alexandria).

The calculation puts the magnetic moment at 0.00 μB/f.u. The calculation puts the density of states at the Fermi level at 0.247 states/eV per atom. For the energy relative to the elements, the calculation gives -1.3 eV per formula unit. As for the crystal system: orthorhombic.

It has space group Cmc2_1 (No. 36), with a = 4.831 Å, b = 30.876 Å, c = 7.572 Å, α = 90.00°, β = 90.00° and γ = 90.00°. Symmetry generates all atoms from Mg at (0.000, 0.052, 0.000), Mg at (0.000, 0.128, 0.359), Mg at (0.000, 0.296, 0.584), Mg at (0.000, 0.303, 0.029), Mg at (0.000, 0.396, 0.183), Tl at (0.000, 0.170, 0.799), Tl at (0.000, 0.489, 0.816), Bi at (0.000, 0.049, 0.597), Bi at (0.000, 0.229, 0.309) and Bi at (0.000, 0.392, 0.598).

=====

Q: magnetic moment of number 6 (MgTlBi)?
A: 0.00 μB/f.u.

=====

Copy entry 1 word for word.
# MgTlBi

A relaxed structure of MgTlBi (PBE, Alexandria).

The calculation puts the magnetic moment at 0.00 μB/f.u. The calculation puts the density of states at the Fermi level at 0.030 states/eV per atom. For the energy relative to the elements, the calculation gives -0.4 eV per formula unit. As for the crystal system: triclinic.

It has space group P-1 (No. 2), with a = 5.125 Å, b = 5.134 Å, c = 7.926 Å, α = 89.91°, β = 90.00° and γ = 60.17°. Symmetry generates all atoms from Mg at (0.166, 0.168, 0.348), Tl at (0.500, 0.500, 0.000), Tl at (0.500, 0.500, 0.500) and Bi at (0.167, 0.166, 0.758).

=====

Q: Which value of energy relative to the elements does entry 3 give?
A: 0.7 eV per formula unit

=====

Repeat the seventh record exactly.
# Mg6Tl3Bi

A relaxed structure of Mg6Tl3Bi (PBE, Alexandria).

The calculation puts the magnetic moment at 0.00 μB/f.u. The calculation puts the density of states at the Fermi level at 0.377 states/eV per atom. For the energy relative to the elements, the calculation gives -0.5 eV per formula unit. As for the crystal system: monoclinic.

It has space group P2_1/m (No. 11), with a = 9.463 Å, b = 4.739 Å, c = 11.611 Å, α = 90.00°, β = 105.03° and γ = 90.00°. Symmetry generates all atoms from Mg at (0.010, 0.250, 0.096), Mg at (0.060, 0.750, 0.297), Mg at (0.121, 0.250, 0.509), Mg at (0.278, 0.750, 0.117), Mg at (0.372, 0.750, 0.517), Mg at (0.455, 0.750, 0.901), Tl at (0.161, 0.750, 0.697), Tl at (0.226, 0.250, 0.931), Tl at (0.420, 0.250, 0.710) and Bi at (0.298, 0.250, 0.319).